HoCdPt | PBE | relaxed

Lattice parameters (Å, degrees): 5.044 5.044 5.794 90.00 90.00 119.98
Atoms (fractional coordinates):
Ho (0.667, 0.833, 0.750)
Ho (0.333, 0.167, 0.250)
Cd (0.000, 0.500, 0.000)
Cd (0.000, 0.500, 0.500)
Pt (0.333, 0.167, 0.750)
Pt (0.667, 0.833, 0.250)

Final energy: -4.698 eV per atom
Crystal system: hexagonal